First-principles (PBE-GGA) data for a relaxed TePd2Pb2 crystal, as listed in the Alexandria database.

a = 7.4739 Å, b = 7.4739 Å, c = 4.1867 Å
α = 90.00°, β = 90.00°, γ = 90.00°
Last column: nearest neighbours and their distance in Å.
Space group P4/mbm (No. 127)
Inequivalent atoms, fractional coordinates:
Te: 0.0000 0.0000 0.0000 (multiplicity 2)  4 Pd 2.90
Pd: 0.1365 0.3635 0.0000 (multiplicity 4)  1 Pd 2.89, 2 Te 2.90, 6 Pb 2.99-3.06
Pb: 0.1609 0.6609 0.5000 (multiplicity 4)  6 Pd 2.99-3.06

The total energy comes out at -4.418 eV/atom. As for the uncorrected formation energy: -229 meV per atom. The crystal system is tetragonal. The calculated density comes out at 10.7 g/cm³. The offset from the most stable computed form comes out at 0 meV/atom.